The following is a DFT calculation (PBE) of a relaxed ScRe3Br crystal.

Total magnetic moment ... 0.0000 μB per atom
Volume ... 19.07 Å³/atom
E_form (uncorrected) ... 8.86 eV per formula unit
Space group ... Pm-3m, No. 221
ΔE to the lowest computed polymorph ... 0 meV/atom

Unit cell a=4.568 b=4.568 c=4.568 alpha=90.00 beta=90.00 gamma=90.00
Sites, in units of the cell vectors:
Sc1 0.500 0.500 0.500
Re1 0.000 0.500 0.000
Re2 0.000 0.000 0.500
Re3 0.500 0.000 0.000
Br1 0.000 0.000 0.000

The following is a DFT calculation (PBE) of a relaxed ScReBr2 crystal.

Total magnetic moment ... 0.0011 μB per atom
Volume ... 18.29 Å³/atom
E_form (uncorrected) ... 2.41 eV per formula unit
Space group ... Fm-3m, No. 225
ΔE to the lowest computed polymorph ... 756 meV/atom

Unit cell a=4.694 b=4.694 c=4.694 alpha=60.00 beta=60.00 gamma=60.00
Sites, in units of the cell vectors:
Sc1 0.000 0.000 0.000
Re1 0.500 0.500 0.500
Br1 0.250 0.250 0.250
Br2 0.750 0.750 0.750

The following is a DFT calculation (PBE) of a relaxed ScReBr2 crystal.

Total magnetic moment ... 0.2647 μB per atom
Volume ... 20.46 Å³/atom
E_form (uncorrected) ... 1.56 eV per formula unit
Space group ... Pmmm, No. 47
ΔE to the lowest computed polymorph ... 542 meV/atom

Unit cell a=3.103 b=5.857 c=4.504 alpha=90.00 beta=90.00 gamma=90.00
Sites, in units of the cell vectors:
Br1 0.000 0.000 0.000
Br2 0.500 0.500 0.000
Re1 0.500 0.000 0.500
Sc1 0.000 0.500 0.500

The following is a DFT calculation (PBE) of a relaxed Sc4ReBr crystal.

Total magnetic moment ... 0.0000 μB per atom
Volume ... 21.69 Å³/atom
E_form (uncorrected) ... 4.15 eV per formula unit
Space group ... F-43m, No. 216

Unit cell a=5.688 b=5.688 c=5.688 alpha=60.00 beta=60.00 gamma=60.00
Sites, in units of the cell vectors:
Sc1 0.886 0.371 0.371
Sc2 0.371 0.371 0.886
Sc3 0.371 0.886 0.371
Sc4 0.371 0.371 0.371
Re1 0.000 0.000 0.000
Br1 0.750 0.750 0.750

The following is a DFT calculation (PBE) of a relaxed ScRe2Br2 crystal.

Total magnetic moment ... 0.0000 μB per atom
Volume ... 20.19 Å³/atom
E_form (uncorrected) ... 5.48 eV per formula unit
Space group ... P4/mbm, No. 127
ΔE to the lowest computed polymorph ... 409 meV/atom

Unit cell a=8.046 b=8.046 c=3.118 alpha=90.00 beta=90.00 gamma=90.00
Sites, in units of the cell vectors:
Sc1 0.000 0.000 0.000
Sc2 0.500 0.500 0.000
Re1 0.396 0.896 0.000
Re2 0.896 0.604 0.000
Re3 0.604 0.104 0.000
Re4 0.104 0.396 0.000
Br1 0.216 0.716 0.500
Br2 0.716 0.784 0.500
Br3 0.784 0.284 0.500
Br4 0.284 0.216 0.500

The following is a DFT calculation (PBE) of a relaxed ScReBr2 crystal.

Total magnetic moment ... 0.3885 μB per atom
Volume ... 19.95 Å³/atom
E_form (uncorrected) ... 2.38 eV per formula unit
Space group ... I-4m2, No. 119
ΔE to the lowest computed polymorph ... 747 meV/atom

Unit cell a=5.960 b=5.960 c=5.960 alpha=141.96 beta=141.96 gamma=54.89
Sites, in units of the cell vectors:
Br1 0.000 0.000 0.000
Br2 0.750 0.250 0.500
Re1 0.500 0.500 0.000
Sc1 0.250 0.750 0.500